# 1
Material: Ca4MgB4H6C2O18
Method: DFT, PBE
State: optimized geometry

Structure (CIF):
```
data_Ca4MgB4H6C2O18
_cell_length_a 17.8375
_cell_length_b 8.6635
_cell_length_c 4.5236
_cell_angle_alpha 90.00
_cell_angle_beta 101.42
_cell_angle_gamma 90.00
_space_group_name_H-M_alt 'C 1 2/m 1'
_space_group_IT_number 12
loop_
_space_group_symop_operation_xyz
'x,y,z'
'-x,-y,-z'
'-x,y,-z'
'x,-y,z'
'x+1/2,y+1/2,z'
'-x+1/2,-y+1/2,-z'
'-x+1/2,y+1/2,-z'
'x+1/2,-y+1/2,z'
loop_
_atom_site_label
_atom_site_type_symbol
_atom_site_fract_x
_atom_site_fract_y
_atom_site_fract_z
_atom_site_occupancy
Ca1 Ca 0.1558 0.2312 0.1494 1
Mg1 Mg 0.0000 0.0000 0.0000 1
B1 B 0.0000 0.2269 0.5000 1
B2 B 0.0966 0.0000 0.6145 1
H1 H 0.0102 0.3962 0.2153 1
H2 H 0.2137 0.0000 0.6899 1
C1 C 0.1945 0.5000 0.7543 1
O1 O 0.0459 0.3243 0.3313 1
O2 O 0.0553 0.1372 0.7187 1
O3 O 0.1008 0.0000 0.3068 1
O4 O 0.1544 0.5000 0.9643 1
O5 O 0.1752 0.0000 0.8168 1
O6 O 0.2157 0.3686 0.6545 1
```

Computed properties:
**Raw total energy**: -477.54 eV for the cell shown

***

# 2
Material: Zr2ScIn
Method: DFT, PBE
State: optimized geometry

Structure (CIF):
```
data_Zr2ScIn
_cell_length_a 3.3358
_cell_length_b 5.2755
_cell_length_c 10.4517
_cell_angle_alpha 90.00
_cell_angle_beta 90.00
_cell_angle_gamma 90.00
_space_group_name_H-M_alt 'I m m 2'
_space_group_IT_number 44
loop_
_space_group_symop_operation_xyz
'x,y,z'
'-x,-y,z'
'-x,y,z'
'x,-y,z'
'x+1/2,y+1/2,z+1/2'
'-x+1/2,-y+1/2,z+1/2'
'-x+1/2,y+1/2,z+1/2'
'x+1/2,-y+1/2,z+1/2'
loop_
_atom_site_label
_atom_site_type_symbol
_atom_site_fract_x
_atom_site_fract_y
_atom_site_fract_z
_atom_site_occupancy
Zr1 Zr 0.0000 0.0000 0.0000 1
Zr2 Zr 0.0000 0.5000 0.2512 1
Sc1 Sc 0.0000 0.0000 0.4905 1
In1 In 0.0000 0.5000 0.7469 1
```

Computed properties:
**Raw total energy**: -53.42 eV for the cell shown
**Formation enthalpy at 0 K**: -0.14 eV/atom

***

# 3
Material: V2Ni4Pd
Method: DFT, PBE
State: optimized geometry

Structure (CIF):
```
data_V2Ni4Pd
_cell_length_a 4.5489
_cell_length_b 4.5489
_cell_length_c 11.3796
_cell_angle_alpha 90.00
_cell_angle_beta 90.00
_cell_angle_gamma 90.00
_space_group_name_H-M_alt 'I 4/m m m'
_space_group_IT_number 139
_space_group_name_Hall '-I 4 2'
loop_
_atom_site_label
_atom_site_type_symbol
_atom_site_fract_x
_atom_site_fract_y
_atom_site_fract_z
_atom_site_occupancy
V1 V 0.0000 0.0000 0.0939 1
Ni1 Ni 0.0000 0.0000 0.2855 1
Ni2 Ni 0.0000 0.5000 0.0000 1
Pd1 Pd 0.0000 0.0000 0.5000 1
```

Computed properties:
**Energy above the most stable polymorph in this dataset**: 7.79 eV/f.u.
**Raw total energy**: -78.82 eV for the cell shown
**Formation enthalpy at 0 K**: 1.02 eV/atom

***

# 4
Material: TaCuPtAu
Method: DFT, PBE
State: optimized geometry

Structure (CIF):
```
data_TaCuPtAu
_cell_length_a 6.3626
_cell_length_b 6.3626
_cell_length_c 6.3626
_cell_angle_alpha 90.00
_cell_angle_beta 90.00
_cell_angle_gamma 90.00
_space_group_name_H-M_alt 'F -4 3 m'
_space_group_IT_number 216
_space_group_name_Hall 'F -4 2 3'
loop_
_atom_site_label
_atom_site_type_symbol
_atom_site_fract_x
_atom_site_fract_y
_atom_site_fract_z
_atom_site_occupancy
Ta1 Ta 0.0000 0.0000 0.0000 1
Cu1 Cu 0.0000 0.0000 0.5000 1
Pt1 Pt 0.2500 0.2500 0.7500 1
Au1 Au 0.2500 0.2500 0.2500 1
```

Computed properties:
**Raw total energy**: -103.93 eV for the cell shown
**Formation enthalpy at 0 K**: -0.18 eV/atom